The following is a PBE-GGA calculation of KLaVSn2 after structural relaxation, from the Alexandria database.

Computed properties:
Raw total energy ... -3.62 eV per atom
Spin magnetization ... 4.08 Bohr magnetons per cell
Calculated volume ... 32.606 A^3/atom

Cell: 5.726 5.726 4.973 Å, 90.00 90.00 90.00°
Space group P4/mmm (No. 123)
Inequivalent atoms, fractional coordinates:
K  0.000  0.000  0.000
La  0.500  0.500  0.500
V  0.000  0.000  0.500
Sn  0.000  0.500  0.000